Compound: Li6IrPd
Source: OQMD
Functional: PBE
Structure: optimized geometry

SG ... P4/mmm (123)
E_tot ... -3.335 eV per atom

Lattice parameters (Å, degrees): 4.2442 4.2442 5.9468 90.00 90.00 90.00
Last column: nearest neighbours and their distance in Å.
Atoms (fractional coordinates):
Li 0.0000 0.5000 0.7421  4 Li 2.56-2.62, 2 Ir 2.56, 2 Pd 2.62
Li 0.0000 0.0000 0.0000  8 Li 2.62
Li 0.5000 0.5000 0.5000  8 Li 2.56
Li 0.5000 0.0000 0.2579  4 Li 2.56-2.62, 2 Ir 2.56, 2 Pd 2.62
Li 0.5000 0.0000 0.7421  4 Li 2.56-2.62, 2 Ir 2.56, 2 Pd 2.62
Li 0.0000 0.5000 0.2579  4 Li 2.56-2.62, 2 Ir 2.56, 2 Pd 2.62
Pd 0.5000 0.5000 0.0000  8 Li 2.62
Ir 0.0000 0.0000 0.5000  8 Li 2.56